First-principles (PBE) data for a geometry-optimized La2Pu4Sb3N2 structure, as listed in Alexandria.

For the formation energy from raw total energies, the calculation gives -1.006 eV per atom.

Cell and atoms, written as CIF:
```
data_La2Pu4Sb3N2
_space_group_name_H-M_alt 'I 4/m m m'
_space_group_IT_number 139
_space_group_name_Hall '-I 4 2'
_cell_length_a 4.6825
_cell_length_b 4.6825
_cell_length_c 26.4043
_cell_angle_alpha 90.00
_cell_angle_beta 90.00
_cell_angle_gamma 90.00
loop_
_atom_site_label
_atom_site_type_symbol
_atom_site_fract_x
_atom_site_fract_y
_atom_site_fract_z
La1 La 0.0000 0.0000 0.1946
Pu1 Pu 0.0000 0.5000 0.0836
Sb1 Sb 0.0000 0.0000 0.3246
Sb2 Sb 0.0000 0.0000 0.5000
N1 N 0.0000 0.0000 0.1020
```

***

First-principles (PBE) data for a geometry-optimized AsRh structure, as listed in Alexandria.

The formation energy comes out at -0.398 eV/atom.

Cell and atoms, written as CIF:
```
data_AsRh
_space_group_name_H-M_alt 'P 4/n m m'
_space_group_IT_number 129
_cell_length_a 3.4851
_cell_length_b 3.4851
_cell_length_c 5.1464
_cell_angle_alpha 90.00
_cell_angle_beta 90.00
_cell_angle_gamma 90.00
loop_
_space_group_symop_operation_xyz
'x,y,z'
'-x,-y,-z'
'-y+1/2,x,z'
'y+1/2,-x,-z'
'-x+1/2,-y+1/2,z'
'x+1/2,y+1/2,-z'
'y,-x+1/2,z'
'-y,x+1/2,-z'
'x+1/2,-y,-z'
'-x+1/2,y,z'
'-y,-x,-z'
'y,x,z'
'-x,y+1/2,-z'
'x,-y+1/2,z'
'y+1/2,x+1/2,-z'
'-y+1/2,-x+1/2,z'
loop_
_atom_site_label
_atom_site_type_symbol
_atom_site_fract_x
_atom_site_fract_y
_atom_site_fract_z
As1 As 0.2500 0.2500 0.1861
Rh1 Rh 0.2500 0.2500 0.6723
```

***

First-principles (PBE) data for a geometry-optimized Pm2ZrGe4Pt3 structure, as listed in Alexandria.

The formation energy comes out at -0.908 eV/atom.

Cell and atoms, written as CIF:
```
data_Pm2ZrGe4Pt3
_space_group_name_H-M_alt 'P -4 m 2'
_space_group_IT_number 115
_cell_length_a 4.2848
_cell_length_b 4.2848
_cell_length_c 10.9775
_cell_angle_alpha 90.00
_cell_angle_beta 90.00
_cell_angle_gamma 90.00
loop_
_space_group_symop_operation_xyz
'x,y,z'
'y,-x,-z'
'-x,-y,z'
'-y,x,-z'
'-x,y,z'
'-y,-x,-z'
'x,-y,z'
'y,x,-z'
loop_
_atom_site_label
_atom_site_type_symbol
_atom_site_fract_x
_atom_site_fract_y
_atom_site_fract_z
Pm1 Pm 0.0000 0.5000 0.2352
Zr1 Zr 0.0000 0.0000 0.5000
Ge1 Ge 0.0000 0.0000 0.0000
Ge2 Ge 0.0000 0.5000 0.6508
Ge3 Ge 0.5000 0.5000 0.0000
Pt1 Pt 0.0000 0.5000 0.8779
Pt2 Pt 0.5000 0.5000 0.5000
```

***

Number 1: volume 578.9 Å³ per cell. Number 2: volume 62.5 Å³ per cell. Number 3: volume 201.5 Å³ per cell.